Density functional theory data (GGA-PBE) for HfMn2Pt after structural relaxation.

a b c (Å): 3.7336 3.7336 18.9155
angles (deg): 90.00 90.00 90.00
Last column: nearest neighbours and their distance in Å.
Space group I-42d (No. 122)
One atom of each set of equivalent atoms:
Hf 0.0000 0.0000 0.0000 x4  4 Pt 2.64, 4 Mn 2.86
Mn 0.1491 0.2500 0.6250 x8  2 Mn 2.17
Pt 0.0000 0.0000 0.5000 x4  4 Mn 2.60, 4 Hf 2.64

Values from the calculation:
Size of the total moment = 0.00 Bohr magnetons per cell
Total DFT energy (no corrections) = -8.376 eV/atom
E_form = 0.207 eV/atom

=====

Density functional theory data (GGA-PBE) for HfMnPt3 after structural relaxation.

a b c (Å): 4.5233 5.4993 7.0201
angles (deg): 90.00 90.00 90.00
Last column: nearest neighbours and their distance in Å.
Space group Pmmn (No. 59, origin choice 2)
One atom of each set of equivalent atoms:
Hf 0.2500 0.2500 0.2079 x2  6 Pt 2.70-2.85, 2 Mn 2.92
Mn 0.2500 0.7500 0.3496 x2  7 Pt 2.44-2.63
Pt 0.2500 0.0057 0.6465 x4  3 Mn 2.51-2.63, 2 Pt 2.69-2.81
Pt 0.2500 0.7500 0.0027 x2  1 Mn 2.44, 2 Hf 2.70

Values from the calculation:
Size of the total moment = 7.61 Bohr magnetons per cell
Total DFT energy (no corrections) = -7.965 eV/atom
E_form = -0.516 eV/atom

=====

Density functional theory data (GGA-PBE) for HfMn3Pt4 after structural relaxation.

a b c (Å): 9.2046 5.7685 4.7631
angles (deg): 90.00 90.00 90.00
Last column: nearest neighbours and their distance in Å.
Space group Pmma (No. 51)
One atom of each set of equivalent atoms:
Hf 0.0000 0.0000 0.0000 x2  8 Pt 2.79-2.80, 4 Mn 2.88-3.03
Mn 0.0000 0.5000 0.0000 x2  8 Pt 2.75-2.77, 2 Hf 2.88, 2 Mn 2.95
Mn 0.2500 0.0000 0.4135 x2  8 Pt 2.71-2.90, 2 Mn 2.89, 2 Hf 3.03
Mn 0.2500 0.5000 0.3892 x2  8 Pt 2.75-2.77, 4 Mn 2.89-2.95
Pt 0.0000 0.2546 0.5000 x4  6 Mn 2.75-2.77, 2 Hf 2.80, 4 Pt 2.83-2.95
Pt 0.2500 0.2565 0.8890 x4  6 Mn 2.71-2.90, 2 Hf 2.79, 4 Pt 2.81-2.96

Values from the calculation:
Size of the total moment = 25.02 Bohr magnetons per cell
Total DFT energy (no corrections) = -8.277 eV/atom
E_form = -0.574 eV/atom

=====

Density functional theory data (GGA-PBE) for HfMnPt3 after structural relaxation.

a b c (Å): 4.6092 4.6092 4.6092
angles (deg): 90.00 90.00 90.00
Last column: nearest neighbours and their distance in Å.
Space group Pm-3m (No. 221)
One atom of each set of equivalent atoms:
Hf 0.0000 0.0000 0.0000 x1  12 Pt 3.26
Mn 0.5000 0.5000 0.5000 x1  6 Pt 2.30
Pt 0.0000 0.5000 0.5000 x3  2 Mn 2.30

Values from the calculation:
Size of the total moment = 3.83 Bohr magnetons per cell
Total DFT energy (no corrections) = -7.049 eV/atom
E_form = 0.400 eV/atom

=====

Density functional theory data (GGA-PBE) for Hf2MnPt after structural relaxation.

a b c (Å): 3.2205 3.2205 6.5561
angles (deg): 90.00 90.00 90.00
Last column: nearest neighbours and their distance in Å.
Space group P4/mmm (No. 123)
One atom of each set of equivalent atoms:
Hf 0.0000 0.0000 0.2328 x2  4 Mn 2.74, 4 Pt 2.87, 1 Hf 3.05
Mn 0.5000 0.5000 0.0000 x1  8 Hf 2.74
Pt 0.5000 0.5000 0.5000 x1  8 Hf 2.87

Values from the calculation:
Size of the total moment = 0.00 Bohr magnetons per cell
Total DFT energy (no corrections) = -9.425 eV/atom
E_form = -0.645 eV/atom

=====

Density functional theory data (GGA-PBE) for HfMn2Pt after structural relaxation.

a b c (Å): 6.2434 6.2434 6.2434
angles (deg): 90.00 90.00 90.00
Last column: nearest neighbours and their distance in Å.
Space group Fm-3m (No. 225)
One atom of each set of equivalent atoms:
Hf 0.0000 0.0000 0.0000 x4  8 Mn 2.70
Mn 0.2500 0.2500 0.2500 x8  4 Hf 2.70, 4 Pt 2.70
Pt 0.0000 0.0000 0.5000 x4  8 Mn 2.70

Values from the calculation:
Size of the total moment = 22.29 Bohr magnetons per cell
Total DFT energy (no corrections) = -8.847 eV/atom
E_form = -0.264 eV/atom

=====

Density functional theory data (GGA-PBE) for Hf3MnPt after structural relaxation.

a b c (Å): 4.6861 4.6861 4.6861
angles (deg): 90.00 90.00 90.00
Last column: nearest neighbours and their distance in Å.
Space group Pm-3m (No. 221)
One atom of each set of equivalent atoms:
Hf 0.0000 0.0000 0.5000 x3  2 Mn 2.34
Mn 0.0000 0.0000 0.0000 x1  6 Hf 2.34
Pt 0.5000 0.5000 0.5000 x1  12 Hf 3.31

Values from the calculation:
Size of the total moment = 0.00 Bohr magnetons per cell
Total DFT energy (no corrections) = -8.789 eV/atom
E_form = 0.225 eV/atom

=====

Density functional theory data (GGA-PBE) for Hf5Mn2Pt after structural relaxation.

a b c (Å): 6.6522 6.6522 13.5458
angles (deg): 90.00 90.00 90.00
Last column: nearest neighbours and their distance in Å.
Space group I4/mcm (No. 140)
One atom of each set of equivalent atoms:
Hf 0.0000 0.0000 0.0000 x4  4 Mn 2.68
Hf 0.1764 0.3236 0.1437 x16  3 Mn 2.77-2.78, 2 Pt 2.84
Mn 0.1127 0.3873 0.5000 x8  1 Mn 2.12
Pt 0.0000 0.0000 0.2500 x4  8 Hf 2.84

Values from the calculation:
Size of the total moment = 0.00 Bohr magnetons per cell
Total DFT energy (no corrections) = -9.609 eV/atom
E_form = -0.341 eV/atom

=====

Density functional theory data (GGA-PBE) for Hf5Mn4Pt after structural relaxation.

a b c (Å): 3.1988 3.1988 15.9498
angles (deg): 90.00 90.00 90.00
Last column: nearest neighbours and their distance in Å.
Space group P4/mmm (No. 123)
One atom of each set of equivalent atoms:
Hf 0.0000 0.0000 0.0000 x1  8 Mn 2.75
Hf 0.0000 0.0000 0.1980 x2  8 Mn 2.77-2.78, 1 Hf 3.07
Hf 0.0000 0.0000 0.3903 x2  4 Mn 2.69, 4 Pt 2.86
Mn 0.5000 0.5000 0.0978 x2  8 Hf 2.75-2.77
Mn 0.5000 0.5000 0.2993 x2  8 Hf 2.69-2.78
Pt 0.5000 0.5000 0.5000 x1  8 Hf 2.86, 4 Pt 3.20, 2 Mn 3.20

Values from the calculation:
Size of the total moment = 1.67 Bohr magnetons per cell
Total DFT energy (no corrections) = -9.597 eV/atom
E_form = -0.349 eV/atom

=====

Density functional theory data (GGA-PBE) for Hf2Mn2Pt after structural relaxation.

a b c (Å): 6.4131 6.4131 3.9514
angles (deg): 90.00 90.00 90.00
Last column: nearest neighbours and their distance in Å.
Space group P4/mbm (No. 127)
One atom of each set of equivalent atoms:
Hf 0.1827 0.3173 0.0000 x4  6 Mn 2.73-2.76
Mn 0.1096 0.6096 0.5000 x4  1 Mn 1.99
Pt 0.0000 0.0000 0.5000 x2  4 Mn 2.60

Values from the calculation:
Size of the total moment = 1.54 Bohr magnetons per cell
Total DFT energy (no corrections) = -9.251 eV/atom
E_form = -0.394 eV/atom

=====

Density functional theory data (GGA-PBE) for HfMnPt4 after structural relaxation.

a b c (Å): 7.5935 2.9146 17.7483
angles (deg): 90.00 90.00 90.00
Last column: nearest neighbours and their distance in Å.
Space group Pnma (No. 62)
One atom of each set of equivalent atoms:
Hf 0.2213 0.2500 0.0547 x4  9 Pt 2.76-2.91, 2 Hf 2.91
Mn 0.2253 0.7500 0.3056 x4  9 Pt 2.58-2.81
Pt 0.0290 0.7500 0.4325 x4  1 Mn 2.70, 3 Hf 2.76-2.88, 8 Pt 2.84-2.91
Pt 0.0810 0.7500 0.1742 x4  2 Mn 2.58-2.73, 2 Hf 2.78, 2 Pt 2.82
Pt 0.0906 0.7500 0.6976 x4  4 Mn 2.78-2.81, 8 Pt 2.88-3.00, 1 Hf 2.91
Pt 0.1403 0.7500 0.9238 x4  2 Mn 2.75, 3 Hf 2.77-2.81, 6 Pt 2.82-2.91

Values from the calculation:
Size of the total moment = 16.60 Bohr magnetons per cell
Total DFT energy (no corrections) = -7.795 eV/atom
E_form = -0.581 eV/atom

=====

Density functional theory data (GGA-PBE) for HfMn2Pt9 after structural relaxation.

a b c (Å): 3.9730 3.9730 11.8768
angles (deg): 90.00 90.00 90.00
Last column: nearest neighbours and their distance in Å.
Space group P4/mmm (No. 123)
One atom of each set of equivalent atoms:
Hf 0.0000 0.0000 0.0000 x1  12 Pt 2.81-2.83
Mn 0.0000 0.0000 0.3384 x2  12 Pt 2.76-2.82
Pt 0.0000 0.5000 0.1702 x4  8 Pt 2.79-2.83, 2 Mn 2.82, 2 Hf 2.83
Pt 0.0000 0.5000 0.5000 x2  4 Mn 2.76, 8 Pt 2.79-2.81
Pt 0.5000 0.5000 0.0000 x1  4 Hf 2.81, 8 Pt 2.83
Pt 0.5000 0.5000 0.3350 x2  8 Pt 2.79, 4 Mn 2.81

Values from the calculation:
Size of the total moment = 8.81 Bohr magnetons per cell
Total DFT energy (no corrections) = -7.499 eV/atom
E_form = -0.611 eV/atom

=====

Density functional theory data (GGA-PBE) for HfMnPt3 after structural relaxation.

a b c (Å): 5.3054 13.5141 5.2518
angles (deg): 90.00 110.50 90.00
Last column: nearest neighbours and their distance in Å.
Space group C2/c (No. 15)
One atom of each set of equivalent atoms:
Hf 0.0000 0.1775 0.2500 x4  4 Pt 2.65-2.73
Mn 0.0000 0.4752 0.7500 x4  4 Pt 2.54-2.71, 2 Mn 2.71
Pt 0.0000 0.0000 0.0000 x4  2 Mn 2.54, 2 Pt 2.63, 2 Hf 2.73
Pt 0.2227 0.3417 0.1513 x8  1 Hf 2.65, 2 Mn 2.71-2.87, 4 Pt 2.76-2.89

Values from the calculation:
Size of the total moment = 17.76 Bohr magnetons per cell
Total DFT energy (no corrections) = -7.945 eV/atom
E_form = -0.496 eV/atom

=====

Density functional theory data (GGA-PBE) for RbHf2MnPt after structural relaxation.

a b c (Å): 4.9664 4.9664 4.2546
angles (deg): 90.00 90.00 90.00
Last column: nearest neighbours and their distance in Å.
Space group P4/mmm (No. 123)
One atom of each set of equivalent atoms:
Rb 0.0000 0.0000 0.0000 x1  2 Mn 2.13
Hf 0.0000 0.5000 0.0000 x2  2 Rb 2.48
Mn 0.0000 0.0000 0.5000 x1  2 Rb 2.13
Pt 0.5000 0.5000 0.5000 x1  8 Hf 3.27, 4 Mn 3.51

Values from the calculation:
Size of the total moment = 1.81 Bohr magnetons per cell
Total DFT energy (no corrections) = -4.974 eV/atom
E_form = 2.243 eV/atom

=====

Density functional theory data (GGA-PBE) for HfMnRu2Pt after structural relaxation.

a b c (Å): 4.7314 4.7314 4.9101
angles (deg): 90.00 90.00 90.00
Last column: nearest neighbours and their distance in Å.
Space group P4/mmm (No. 123)
One atom of each set of equivalent atoms:
Hf 0.0000 0.0000 0.0000 x1  4 Ru 2.37, 2 Pt 2.46
Mn 0.5000 0.5000 0.5000 x1  4 Pt 3.35, 8 Ru 3.41
Ru 0.0000 0.5000 0.0000 x2  2 Hf 2.37
Pt 0.0000 0.0000 0.5000 x1  2 Hf 2.46

Values from the calculation:
Size of the total moment = 3.28 Bohr magnetons per cell
Total DFT energy (no corrections) = -7.497 eV/atom
E_form = 1.246 eV/atom

=====

Density functional theory data (GGA-PBE) for YHfMnPt2 after structural relaxation.

a b c (Å): 4.9813 4.9813 4.6616
angles (deg): 90.00 90.00 90.00
Last column: nearest neighbours and their distance in Å.
Space group P4/mmm (No. 123)
One atom of each set of equivalent atoms:
Y 0.0000 0.0000 0.0000 x1  8 Pt 3.41, 4 Mn 3.52
Hf 0.5000 0.5000 0.5000 x1  2 Mn 2.33, 4 Pt 2.49
Mn 0.5000 0.5000 0.0000 x1  2 Hf 2.33
Pt 0.0000 0.5000 0.5000 x2  2 Hf 2.49

Values from the calculation:
Size of the total moment = 2.96 Bohr magnetons per cell
Total DFT energy (no corrections) = -7.440 eV/atom
E_form = 0.094 eV/atom

=====

Density functional theory data (GGA-PBE) for PuHfMn2 after structural relaxation.

a b c (Å): 6.4884 6.4884 6.4884
angles (deg): 90.00 90.00 90.00
Last column: nearest neighbours and their distance in Å.
Space group Fm-3m (No. 225)
One atom of each set of equivalent atoms:
Pu 0.0000 0.0000 0.0000 x4  8 Mn 2.81
Hf 0.0000 0.0000 0.5000 x4  8 Mn 2.81
Mn 0.2500 0.2500 0.2500 x8  4 Pu 2.81, 4 Hf 2.81

Values from the calculation:
Size of the total moment = 5.75 Bohr magnetons per cell
Total DFT energy (no corrections) = -10.634 eV/atom
E_form = 0.022 eV/atom

=====

Density functional theory data (GGA-PBE) for PuHfMn2 after structural relaxation.

a b c (Å): 4.6517 4.6517 3.1929
angles (deg): 90.00 90.00 90.00
Last column: nearest neighbours and their distance in Å.
Space group P4/mmm (No. 123)
One atom of each set of equivalent atoms:
Pu 0.0000 0.0000 0.0000 x1  8 Mn 2.82
Hf 0.5000 0.5000 0.0000 x1  8 Mn 2.82
Mn 0.0000 0.5000 0.5000 x2  4 Hf 2.82, 4 Pu 2.82

Values from the calculation:
Size of the total moment = 0.93 Bohr magnetons per cell
Total DFT energy (no corrections) = -10.651 eV/atom
E_form = 0.005 eV/atom

=====

Density functional theory data (GGA-PBE) for PuHfMn4 after structural relaxation.

a b c (Å): 7.0301 7.0301 7.0301
angles (deg): 90.00 90.00 90.00
Last column: nearest neighbours and their distance in Å.
Space group F-43m (No. 216)
One atom of each set of equivalent atoms:
Pu 0.0000 0.0000 0.0000 x4  12 Mn 2.92, 4 Hf 3.04
Hf 0.2500 0.2500 0.2500 x4  12 Mn 2.91, 4 Pu 3.04
Mn 0.1246 0.1246 0.6246 x16  6 Mn 2.48-2.49

Values from the calculation:
Size of the total moment = 21.27 Bohr magnetons per cell
Total DFT energy (no corrections) = -10.128 eV/atom
E_form = 0.033 eV/atom

=====

Density functional theory data (GGA-PBE) for RbHfMn2 after structural relaxation.

a b c (Å): 5.4048 5.4048 17.7363
angles (deg): 90.00 90.00 90.00
Last column: nearest neighbours and their distance in Å.
Space group I4_1/amd (No. 141, origin choice 2)
One atom of each set of equivalent atoms:
Rb 0.0000 0.2500 0.3750 x4  8 Mn 3.75, 4 Hf 3.82
Hf 0.0000 0.2500 0.8750 x4  4 Mn 2.60
Mn 0.0000 0.0000 0.0000 x8  2 Hf 2.60, 2 Mn 2.70

Values from the calculation:
Size of the total moment = 23.59 Bohr magnetons per cell
Total DFT energy (no corrections) = -5.998 eV/atom
E_form = 1.317 eV/atom

=====

Density functional theory data (GGA-PBE) for Rb2HfMn after structural relaxation.

a b c (Å): 13.4745 13.4745 4.6984
angles (deg): 90.00 90.00 90.00
Last column: nearest neighbours and their distance in Å.
Space group I-42d (No. 122)
One atom of each set of equivalent atoms:
Rb 0.0885 0.7500 0.1250 x8  2 Mn 3.62, 2 Hf 3.98
Hf 0.0000 0.0000 0.5000 x4  2 Mn 2.35
Mn 0.0000 0.0000 0.0000 x4  2 Hf 2.35

Values from the calculation:
Size of the total moment = 5.17 Bohr magnetons per cell
Total DFT energy (no corrections) = -4.015 eV/atom
E_form = 1.250 eV/atom

=====

Density functional theory data (GGA-PBE) for Rb2HfMn after structural relaxation.

a b c (Å): 8.2123 8.2123 8.2123
angles (deg): 90.00 90.00 90.00
Last column: nearest neighbours and their distance in Å.
Space group Fm-3m (No. 225)
One atom of each set of equivalent atoms:
Rb 0.2500 0.2500 0.2500 x8  4 Hf 3.56, 4 Mn 3.56
Hf 0.0000 0.0000 0.0000 x4  8 Rb 3.56
Mn 0.0000 0.0000 0.5000 x4  8 Rb 3.56

Values from the calculation:
Size of the total moment = 4.24 Bohr magnetons per cell
Total DFT energy (no corrections) = -2.927 eV/atom
E_form = 2.338 eV/atom

=====

Density functional theory data (GGA-PBE) for RbHfMn2 after structural relaxation.

a b c (Å): 7.1009 7.1009 7.1009
angles (deg): 90.00 90.00 90.00
Last column: nearest neighbours and their distance in Å.
Space group Fm-3m (No. 225)
One atom of each set of equivalent atoms:
Rb 0.0000 0.0000 0.0000 x4  8 Mn 3.07
Hf 0.0000 0.0000 0.5000 x4  8 Mn 3.07
Mn 0.2500 0.2500 0.2500 x8  4 Hf 3.07, 4 Rb 3.07

Values from the calculation:
Size of the total moment = 23.35 Bohr magnetons per cell
Total DFT energy (no corrections) = -6.064 eV/atom
E_form = 1.252 eV/atom

=====

Density functional theory data (GGA-PBE) for RbHfMnSe2 after structural relaxation.

a b c (Å): 5.7672 5.7672 5.4124
angles (deg): 90.00 90.00 90.00
Last column: nearest neighbours and their distance in Å.
Space group P4/mmm (No. 123)
One atom of each set of equivalent atoms:
Rb 0.0000 0.0000 0.0000 x1  2 Hf 2.71, 4 Se 2.88
Hf 0.0000 0.0000 0.5000 x1  2 Rb 2.71
Mn 0.5000 0.5000 0.5000 x1  8 Se 3.95, 4 Hf 4.08
Se 0.0000 0.5000 0.0000 x2  2 Rb 2.88

Values from the calculation:
E_form (uncorrected) = 1.8619 eV per atom
Size of the total moment = 6.08 Bohr magnetons per cell
Total DFT energy (no corrections) = -3.550 eV/atom